VASP calculation (GGA-PBE) on a relaxed structure of TbDyHgRh.

a = 5.0611 Å, b = 5.0611 Å, c = 5.0611 Å
α = 60.00°, β = 60.00°, γ = 60.00°
Atoms (fractional coordinates):
Rh: 0.0000 0.0000 0.0000
Dy: 0.7500 0.7500 0.7500
Hg: 0.5000 0.5000 0.5000
Tb: 0.2500 0.2500 0.2500

Computed properties:
Density of states at the Fermi level in states/eV/atom: 0.5530
Energy relative to the lowest polymorph listed for this composition in meV/atom: 75.9
Volume in Å³/f.u.: 92
Spin magnetization in μB/atom: 0.0000